Material: Mn2FeTe
Method: DFT, GGA-PBE
State: optimized geometry Values from VASP.

The structure in Quantum ESPRESSO input format:
```
&SYSTEM
  ibrav = 0, nat = 4, ntyp = 3
/
ATOMIC_SPECIES
Mn 54.94 Mn.upf
Fe 55.84 Fe.upf
Te 127.60 Te.upf
ATOMIC_POSITIONS crystal
Mn 0.0000 0.5000 0.0000
Mn 0.5000 0.0000 0.0000
Fe 0.0000 0.0000 0.5000
Te 0.5000 0.5000 0.5000
CELL_PARAMETERS angstrom
3.7013 0.0000 0.0000
0.0000 3.7013 0.0000
0.0000 0.0000 4.0181
```

Values from the calculation:
Calculated volume ... 13.76 Å³ per atom
Spin magnetization ... 3.99 μB per cell
Total energy ... -28.90 eV/cell
Space-group type ... No. 123